This record from the Alexandria database describes a PBEsol-optimized structure of TeH2. The functional is meta-GGA SCAN.

The structure belongs to space group P2_1/m (No. 11); the cell edges are 3.115, 5.213 and 6.431 Å and the angles 90.00°, 92.85° and 90.00°. Symmetry generates all atoms from Te at (0.007, 0.250, 0.094), H at (0.416, 0.250, 0.536) and H at (0.456, 0.750, 0.359).

The calculation puts the magnetization at 0.0001 μB/atom. For the total DFT energy (no corrections), the calculation gives -87.99 eV for the cell shown.



This record from the Alexandria database describes a PBEsol-optimized structure of TiTe2H. The functional is meta-GGA SCAN.

The structure belongs to space group R-3m (No. 166, hexagonal axes); the cell edges are 3.8060, 3.8060 and 21.5764 Å and the angles 90.00°, 90.00° and 120.00°. Symmetry generates all atoms from Ti at (0.0000, 0.0000, 0.0000), Te at (0.0000, 0.0000, 0.4092) and H at (0.0000, 0.0000, 0.5000).

The calculation puts the magnetization at 0.0914 μB/atom. For the total DFT energy (no corrections), the calculation gives -285.47 eV for the cell shown.



This record from the Alexandria database describes a PBEsol-optimized structure of TiTe3H. The functional is meta-GGA SCAN.

The structure belongs to space group Pm-3m (No. 221); the cell edges are 4.657, 4.657 and 4.657 Å and the angles 90.00°, 90.00° and 90.00°. Symmetry generates all atoms from Ti at (0.000, 0.000, 0.000), Te at (0.000, 0.500, 0.500) and H at (0.500, 0.500, 0.500).

The calculation puts the magnetization at 0.3670 μB/atom. For the total DFT energy (no corrections), the calculation gives -128.40 eV for the cell shown.



This record from the Alexandria database describes a PBEsol-optimized structure of TlTe3H. The functional is meta-GGA SCAN.

The structure belongs to space group Pm-3m (No. 221); the cell edges are 5.734, 5.734 and 5.734 Å and the angles 90.00°, 90.00° and 90.00°. Symmetry generates all atoms from Tl at (0.000, 0.000, 0.000), Te at (0.000, 0.000, 0.500) and H at (0.500, 0.500, 0.500).

The calculation puts the magnetization at 0.3684 μB/atom. For the total DFT energy (no corrections), the calculation gives -182.19 eV for the cell shown.



This record from the Alexandria database describes a PBEsol-optimized structure of TeH3W. The functional is meta-GGA SCAN.

The structure belongs to space group Pm-3m (No. 221); the cell edges are 3.684, 3.684 and 3.684 Å and the angles 90.00°, 90.00° and 90.00°. Symmetry generates all atoms from Te at (0.000, 0.000, 0.000), H at (0.000, 0.500, 0.500) and W at (0.500, 0.500, 0.500).

The calculation puts the magnetization at 0.0486 μB/atom. For the total DFT energy (no corrections), the calculation gives -113.44 eV for the cell shown.



This record from the Alexandria database describes a PBEsol-optimized structure of Te2HW2. The functional is meta-GGA SCAN.

The structure belongs to space group I4/mmm (No. 139); the cell edges are 5.367, 5.367 and 6.786 Å and the angles 90.00°, 90.00° and 90.00°. Symmetry generates all atoms from Te at (0.000, 0.500, 0.250), H at (0.000, 0.000, 0.000) and W at (0.000, 0.000, 0.331).

The calculation puts the magnetization at 0.0000 μB/atom. For the total DFT energy (no corrections), the calculation gives -425.31 eV for the cell shown.



This record from the Alexandria database describes a PBEsol-optimized structure of YTe2H. The functional is meta-GGA SCAN.

The structure belongs to space group P1 (No. 1); the cell edges are 4.430, 6.067 and 8.051 Å and the angles 70.45°, 80.61° and 83.52°. Symmetry generates all atoms from Y at (0.000, 0.000, 0.000), Y at (0.426, 0.344, 0.383), Te at (0.002, 0.470, 0.091), Te at (0.447, 0.886, 0.282), Te at (0.511, 0.316, 0.777), Te at (0.905, 0.014, 0.613), H at (0.066, 0.594, 0.472) and H at (0.985, 0.473, 0.519).

The calculation puts the magnetization at 0.0000 μB/atom. For the total DFT energy (no corrections), the calculation gives -219.15 eV for the cell shown.



This record from the Alexandria database describes a PBEsol-optimized structure of YTeH3. The functional is meta-GGA SCAN.

The structure belongs to space group Pm-3m (No. 221); the cell edges are 4.044, 4.044 and 4.044 Å and the angles 90.00°, 90.00° and 90.00°. Symmetry generates all atoms from Y at (0.000, 0.000, 0.000), Te at (0.500, 0.500, 0.500) and H at (0.000, 0.000, 0.500).

The calculation puts the magnetization at 0.0000 μB/atom. For the total DFT energy (no corrections), the calculation gives -76.01 eV for the cell shown.



This record from the Alexandria database describes a PBEsol-optimized structure of ZnTeH2. The functional is meta-GGA SCAN.

The structure belongs to space group Fm-3m (No. 225); the cell edges are 5.752, 5.752 and 5.752 Å and the angles 90.00°, 90.00° and 90.00°. Symmetry generates all atoms from Zn at (0.000, 0.000, 0.000), Te at (0.000, 0.000, 0.500) and H at (0.250, 0.250, 0.250).

The calculation puts the magnetization at 0.0000 μB/atom. For the total DFT energy (no corrections), the calculation gives -218.14 eV for the cell shown.



This record from the Alexandria database describes a PBEsol-optimized structure of Zn2TeH. The functional is meta-GGA SCAN.

The structure belongs to space group Fm-3m (No. 225); the cell edges are 6.435, 6.435 and 6.435 Å and the angles 90.00°, 90.00° and 90.00°. Symmetry generates all atoms from Zn at (0.250, 0.250, 0.250), Te at (0.000, 0.000, 0.000) and H at (0.000, 0.000, 0.500).

The calculation puts the magnetization at 0.0000 μB/atom. For the total DFT energy (no corrections), the calculation gives -262.79 eV for the cell shown. The energy relative to the lowest polymorph listed for this composition is 403.7 meV per atom.



This record from the Alexandria database describes a PBEsol-optimized structure of Zn2TeH. The functional is meta-GGA SCAN.

The structure belongs to space group I-42d (No. 122); the cell edges are 4.660, 4.660 and 12.664 Å and the angles 90.00°, 90.00° and 90.00°. Symmetry generates all atoms from Zn at (0.111, 0.250, 0.125), Te at (0.000, 0.000, 0.500) and H at (0.000, 0.000, 0.000).

The calculation puts the magnetization at 0.0000 μB/atom. For the total DFT energy (no corrections), the calculation gives -269.25 eV for the cell shown. The energy relative to the lowest polymorph listed for this composition is 0.0 meV per atom.



This record from the Alexandria database describes a PBEsol-optimized structure of Zn2TeH2. The functional is meta-GGA SCAN.

The structure belongs to space group I4/mmm (No. 139); the cell edges are 3.429, 3.429 and 11.172 Å and the angles 90.00°, 90.00° and 90.00°. Symmetry generates all atoms from Zn at (0.000, 0.000, 0.166), Te at (0.000, 0.000, 0.500) and H at (0.000, 0.500, 0.250).

The calculation puts the magnetization at 0.0000 μB/atom. For the total DFT energy (no corrections), the calculation gives -138.80 eV for the cell shown.



This record from the Alexandria database describes a PBEsol-optimized structure of Zr3TeH. The functional is meta-GGA SCAN.

The structure belongs to space group Pm-3m (No. 221); the cell edges are 4.392, 4.392 and 4.392 Å and the angles 90.00°, 90.00° and 90.00°. Symmetry generates all atoms from Zr at (0.000, 0.000, 0.500), Te at (0.500, 0.500, 0.500) and H at (0.000, 0.000, 0.000).

The calculation puts the magnetization at 0.0000 μB/atom. For the total DFT energy (no corrections), the calculation gives -135.26 eV for the cell shown.



This record from the Alexandria database describes a PBEsol-optimized structure of TiH2. The functional is meta-GGA SCAN.

The structure belongs to space group P4/nmm (No. 129, origin choice 2); the cell edges are 2.878, 2.878 and 4.792 Å and the angles 90.00°, 90.00° and 90.00°. Symmetry generates all atoms from Ti at (0.250, 0.250, 0.236), H at (0.250, 0.250, 0.843) and H at (0.250, 0.750, 0.500).

The calculation puts the magnetization at 0.0000 μB/atom. For the total DFT energy (no corrections), the calculation gives -48.70 eV for the cell shown.